# 1
Material: Pr7NdMg4
Method: DFT, PBE-GGA
State: optimized geometry

Lattice parameters (Å, degrees): 8.339 8.339 9.953 119.14 119.14 41.76
Sites, in units of the cell vectors:
Pr 0.000 0.000 0.000
Pr 0.245 0.245 0.710
Pr 0.302 0.302 0.122
Pr 0.419 0.419 0.575
Pr 0.581 0.581 0.425
Pr 0.698 0.698 0.878
Pr 0.755 0.755 0.290
Nd 0.500 0.500 0.000
Mg 0.037 0.037 0.694
Mg 0.175 0.175 0.345
Mg 0.825 0.825 0.655
Mg 0.963 0.963 0.306

Results
The value obtained for the formation energy is 0.111 eV per atom. For the final energy, the calculation gives -3.606 eV/atom.

=====

# 2
Material: Pr6NdMg2
Method: DFT, PBE-GGA
State: optimized geometry

Lattice parameters (Å, degrees): 6.218 6.218 8.914 90.00 90.00 119.83
Sites, in units of the cell vectors:
Pr 0.171 0.342 0.661
Pr 0.173 0.827 0.000
Pr 0.342 0.171 0.339
Pr 0.658 0.829 0.339
Pr 0.827 0.173 0.000
Pr 0.829 0.658 0.661
Nd 0.500 0.500 0.000
Mg 0.000 0.500 0.328
Mg 0.500 0.000 0.672

Results
The value obtained for the formation energy is 0.053 eV per atom. The calculation puts the energy above the most stable polymorph in this dataset at 0.000 eV/atom. For the final energy, the calculation gives -4.017 eV/atom.

=====

# 3
Material: Pr5Nd8Mg
Method: DFT, PBE-GGA
State: optimized geometry

Lattice parameters (Å, degrees): 9.036 9.036 8.715 118.67 118.67 57.33
Sites, in units of the cell vectors:
Pr 0.000 0.000 0.000
Pr 0.229 0.573 0.042
Pr 0.427 0.771 0.958
Pr 0.615 0.291 0.737
Pr 0.709 0.385 0.263
Nd 0.069 0.559 0.575
Nd 0.072 0.179 0.682
Nd 0.383 0.287 0.296
Nd 0.441 0.931 0.425
Nd 0.535 0.075 0.923
Nd 0.713 0.617 0.704
Nd 0.821 0.928 0.318
Nd 0.925 0.465 0.077
Mg 0.275 0.725 0.500

Results
The value obtained for the formation energy is 0.141 eV per atom. For the final energy, the calculation gives -4.405 eV/atom.

=====

# 4
Material: Pr4Nd15Mg
Method: DFT, PBE-GGA
State: optimized geometry

Lattice parameters (Å, degrees): 5.185 5.185 25.950 90.00 90.00 90.00
Sites, in units of the cell vectors:
Pr 0.000 0.000 0.101
Pr 0.000 0.000 0.304
Pr 0.000 0.000 0.696
Pr 0.000 0.000 0.899
Nd 0.000 0.500 0.000
Nd 0.000 0.500 0.202
Nd 0.000 0.500 0.404
Nd 0.000 0.500 0.596
Nd 0.000 0.500 0.798
Nd 0.500 0.000 0.000
Nd 0.500 0.000 0.202
Nd 0.500 0.000 0.404
Nd 0.500 0.000 0.596
Nd 0.500 0.000 0.798
Nd 0.500 0.500 0.102
Nd 0.500 0.500 0.305
Nd 0.500 0.500 0.500
Nd 0.500 0.500 0.695
Nd 0.500 0.500 0.898
Mg 0.000 0.000 0.500

Results
The value obtained for the formation energy is 0.011 eV per atom. For the final energy, the calculation gives -4.601 eV/atom.

=====

# 5
Material: PrNdMg
Method: DFT, PBE-GGA
State: optimized geometry

Lattice parameters (Å, degrees): 7.210 7.210 5.355 90.00 90.00 136.40
Sites, in units of the cell vectors:
Pr 0.093 0.907 0.750
Pr 0.907 0.093 0.250
Nd 0.407 0.593 0.750
Nd 0.593 0.407 0.250
Mg 0.250 0.750 0.250
Mg 0.750 0.250 0.750

Results
The value obtained for the formation energy is -0.058 eV per atom. The calculation puts the energy above the most stable polymorph in this dataset at 0.000 eV/atom. For the final energy, the calculation gives -3.772 eV/atom.

=====

# 6
Material: Pr3NdMg
Method: DFT, PBE-GGA
State: optimized geometry

Lattice parameters (Å, degrees): 10.201 10.201 9.093 103.61 103.61 21.53
Sites, in units of the cell vectors:
Pr 0.002 0.002 0.272
Pr 0.187 0.187 0.375
Pr 0.202 0.202 0.828
Pr 0.798 0.798 0.172
Pr 0.813 0.813 0.625
Pr 0.998 0.998 0.728
Nd 0.401 0.401 0.958
Nd 0.599 0.599 0.042
Mg 0.404 0.404 0.438
Mg 0.596 0.596 0.562

Results
The value obtained for the formation energy is -0.020 eV per atom. The calculation puts the energy above the most stable polymorph in this dataset at 0.000 eV/atom. For the final energy, the calculation gives -4.160 eV/atom.

=====

Please write out number 2 again, unchanged.
Material: Pr6NdMg2
Method: DFT, PBE-GGA
State: optimized geometry

Lattice parameters (Å, degrees): 6.218 6.218 8.914 90.00 90.00 119.83
Sites, in units of the cell vectors:
Pr 0.171 0.342 0.661
Pr 0.173 0.827 0.000
Pr 0.342 0.171 0.339
Pr 0.658 0.829 0.339
Pr 0.827 0.173 0.000
Pr 0.829 0.658 0.661
Nd 0.500 0.500 0.000
Mg 0.000 0.500 0.328
Mg 0.500 0.000 0.672

Results
The value obtained for the formation energy is 0.053 eV per atom. The calculation puts the energy above the most stable polymorph in this dataset at 0.000 eV/atom. For the final energy, the calculation gives -4.017 eV/atom.